Record 1
The following is a DFT calculation (PBE) of a relaxed Ta4Hg crystal.

Cell lengths 5.4626, 5.4626, 5.4626 Å; angles 95.95, 95.95, 142.44 degrees
Sites, in units of the cell vectors:
Ta 0.1901 0.4017 0.5917
Ta 0.5983 0.1901 0.7884
Ta 0.8099 0.5983 0.4083
Ta 0.4017 0.8099 0.2116
Hg 0.0000 0.0000 0.0000

Summary:
DFT total energy in eV per atom: -9.351
DOS(E_F) in states/eV/cell: 5.14
Polymorph energy (0 for the lowest one) in meV/atom: 0
Energy of formation from the pure elements in eV/atom: 0.192

***

Record 2
The following is a DFT calculation (PBE) of a relaxed PrMg4Cd2Ag crystal.

Cell lengths 4.8981, 4.8981, 9.3855 Å; angles 74.87, 74.87, 60.00 degrees
Sites, in units of the cell vectors:
Pr 0.0000 0.0000 0.0000
Mg 0.3983 0.3983 0.8051
Mg 0.8676 0.8676 0.3972
Mg 0.1324 0.1324 0.6028
Mg 0.6017 0.6017 0.1949
Cd 0.7409 0.7409 0.7773
Cd 0.2591 0.2591 0.2227
Ag 0.5000 0.5000 0.5000

Summary:
DFT total energy in eV per atom: -2.156
DOS(E_F) in states/eV/cell: 4.47
Energy of formation from the pure elements in eV/atom: -0.176

***

Record 3
The following is a DFT calculation (PBE) of a relaxed ErMg2Sc6 crystal.

Cell lengths 6.1166, 6.1166, 7.9194 Å; angles 67.28, 67.28, 60.00 degrees
Sites, in units of the cell vectors:
Er 0.3788 0.3788 0.8637
Mg 0.6592 0.6592 0.0225
Mg 0.5212 0.5212 0.4364
Sc 0.9065 0.4456 0.6640
Sc 0.9839 0.9065 0.6640
Sc 0.4456 0.9839 0.6640
Sc 0.1409 0.5898 0.2294
Sc 0.0399 0.1409 0.2294
Sc 0.5898 0.0399 0.2294

Summary:
DFT total energy in eV per atom: -4.856
DOS(E_F) in states/eV/cell: 10.45
Energy of formation from the pure elements in eV/atom: 0.227